(1)
# PBE-GGA NaHg3Pt3, relaxed
# ΔE_f: 276 kJ/mol of formula units
# E: -0.18356 Ry per atom
data_NaHg3Pt3
_cell_length_a 7.520
_cell_length_b 7.520
_cell_length_c 7.520
_cell_angle_alpha 90.00
_cell_angle_beta 90.00
_cell_angle_gamma 90.00
_space_group_name_H-M_alt 'P m -3 n'
_space_group_IT_number 223
_space_group_name_Hall '-P 4n 2 3'
loop_
_atom_site_label
_atom_site_type_symbol
_atom_site_fract_x
_atom_site_fract_y
_atom_site_fract_z
Na1 Na 0.000 0.000 0.000
Hg1 Hg 0.000 0.250 0.500
Pt1 Pt 0.000 0.500 0.250

(2)
# PBE-GGA LaMgO3, relaxed
# Energy relative to the elements, uncorrected: -1565 meV per atom
# E: -0.42952 Ry per atom
data_LaMgO3
_cell_length_a 4.433
_cell_length_b 4.433
_cell_length_c 4.433
_cell_angle_alpha 90.00
_cell_angle_beta 90.00
_cell_angle_gamma 90.00
_space_group_name_H-M_alt 'P m -3 m'
_space_group_IT_number 221
_space_group_name_Hall '-P 4 2 3'
loop_
_atom_site_label
_atom_site_type_symbol
_atom_site_fract_x
_atom_site_fract_y
_atom_site_fract_z
La1 La 0.000 0.000 0.000
Mg1 Mg 0.500 0.500 0.500
O1 O 0.000 0.000 0.500

(3)
# PBE-GGA Ac2AgPb, relaxed
# ΔE_f: -143 kJ/mol of formula units
# E: -0.29865 Ry per atom
data_Ac2AgPb
_cell_length_a 5.631
_cell_length_b 5.631
_cell_length_c 4.271
_cell_angle_alpha 90.00
_cell_angle_beta 90.00
_cell_angle_gamma 90.00
_space_group_name_H-M_alt 'P 4/m m m'
_space_group_IT_number 123
_space_group_name_Hall '-P 4 2'
loop_
_atom_site_label
_atom_site_type_symbol
_atom_site_fract_x
_atom_site_fract_y
_atom_site_fract_z
Ac1 Ac 0.000 0.500 0.000
Ag1 Ag 0.000 0.000 0.500
Pb1 Pb 0.500 0.500 0.500

(4)
# PBE-GGA MgIn2Pd, relaxed
# ΔE_f: -105 kJ/mol of formula units
# E: -0.24534 Ry per atom
data_MgIn2Pd
_cell_length_a 3.209
_cell_length_b 3.209
_cell_length_c 8.038
_cell_angle_alpha 90.00
_cell_angle_beta 90.00
_cell_angle_gamma 90.00
_space_group_name_H-M_alt 'P 4/m m m'
_space_group_IT_number 123
_space_group_name_Hall '-P 4 2'
loop_
_atom_site_label
_atom_site_type_symbol
_atom_site_fract_x
_atom_site_fract_y
_atom_site_fract_z
Mg1 Mg 0.000 0.000 0.000
In1 In 0.500 0.500 0.280
Pd1 Pd 0.000 0.000 0.500

(5)
# PBE-GGA BaPmGaO4, relaxed
# Energy relative to the elements, uncorrected: -2633 meV per atom
# E: -0.50359 Ry per atom
data_BaPmGaO4
_cell_length_a 5.849
_cell_length_b 5.918
_cell_length_c 7.294
_cell_angle_alpha 90.00
_cell_angle_beta 108.08
_cell_angle_gamma 90.00
_space_group_name_H-M_alt 'P 1 21/m 1'
_space_group_IT_number 11
loop_
_space_group_symop_operation_xyz
'x,y,z'
'-x,-y,-z'
'-x,y+1/2,-z'
'x,-y+1/2,z'
loop_
_atom_site_label
_atom_site_type_symbol
_atom_site_fract_x
_atom_site_fract_y
_atom_site_fract_z
Ba1 Ba 0.211 0.250 0.430
Pm1 Pm 0.301 0.250 0.959
Ga1 Ga 0.244 0.750 0.174
O1 O 0.034 0.750 0.925
O2 O 0.048 0.750 0.332
O3 O 0.469 0.514 0.206

(6)
# PBE-GGA KBe2IrO8, relaxed
# Energy relative to the elements, uncorrected: -897 meV per atom
# E: -0.41551 Ry per atom
data_KBe2IrO8
_cell_length_a 5.2178
_cell_length_b 5.2178
_cell_length_c 7.2020
_cell_angle_alpha 90.00
_cell_angle_beta 90.00
_cell_angle_gamma 120.00
_space_group_name_H-M_alt 'P -3 m 1'
_space_group_IT_number 164
_space_group_name_Hall '-P 3 2"'
loop_
_atom_site_label
_atom_site_type_symbol
_atom_site_fract_x
_atom_site_fract_y
_atom_site_fract_z
K1 K 0.0000 0.0000 0.0000
Be1 Be 0.3333 0.6667 0.2752
Ir1 Ir 0.0000 0.0000 0.5000
O1 O 0.1668 0.3336 0.3487
O2 O 0.3333 0.6667 0.0498

(7)
# PBE-GGA ScTiMnRe, relaxed
# ΔE_f: -28 kJ/mol of formula units
# E: -0.66396 Ry per atom
data_ScTiMnRe
_cell_length_a 6.348
_cell_length_b 6.348
_cell_length_c 6.348
_cell_angle_alpha 90.00
_cell_angle_beta 90.00
_cell_angle_gamma 90.00
_space_group_name_H-M_alt 'F -4 3 m'
_space_group_IT_number 216
_space_group_name_Hall 'F -4 2 3'
loop_
_atom_site_label
_atom_site_type_symbol
_atom_site_fract_x
_atom_site_fract_y
_atom_site_fract_z
Sc1 Sc 0.000 0.000 0.000
Ti1 Ti 0.000 0.000 0.500
Mn1 Mn 0.250 0.250 0.250
Re1 Re 0.250 0.250 0.750

(8)
# PBE-GGA NbFeBi3, relaxed
# ΔE_f: 448 kJ/mol of formula units
# E: -0.37525 Ry per atom
# Energy relative to the lowest polymorph listed for this composition: 0 meV per atom
data_NbFeBi3
_cell_length_a 5.136
_cell_length_b 5.136
_cell_length_c 5.136
_cell_angle_alpha 90.00
_cell_angle_beta 90.00
_cell_angle_gamma 90.00
_space_group_name_H-M_alt 'P m -3 m'
_space_group_IT_number 221
_space_group_name_Hall '-P 4 2 3'
loop_
_atom_site_label
_atom_site_type_symbol
_atom_site_fract_x
_atom_site_fract_y
_atom_site_fract_z
Nb1 Nb 0.000 0.000 0.000
Fe1 Fe 0.500 0.500 0.500
Bi1 Bi 0.000 0.500 0.500

(9)
# PBE-GGA Cs2GaSiAu6, relaxed
# Energy relative to the elements, uncorrected: -209 meV per atom
# E: -0.23457 Ry per atom
data_Cs2GaSiAu6
_cell_length_a 9.905
_cell_length_b 9.897
_cell_length_c 7.171
_cell_angle_alpha 90.00
_cell_angle_beta 133.66
_cell_angle_gamma 90.00
_space_group_name_H-M_alt 'C 1 m 1'
_space_group_IT_number 8
loop_
_space_group_symop_operation_xyz
'x,y,z'
'x,-y,z'
'x+1/2,y+1/2,z'
'x+1/2,-y+1/2,z'
loop_
_atom_site_label
_atom_site_type_symbol
_atom_site_fract_x
_atom_site_fract_y
_atom_site_fract_z
Cs1 Cs 0.000 0.250 0.000
Ga1 Ga 0.417 0.000 0.331
Si1 Si 0.417 0.500 0.332
Au1 Au 0.170 0.000 0.839
Au2 Au 0.174 0.500 0.847
Au3 Au 0.244 0.000 0.497
Au4 Au 0.255 0.500 0.497
Au5 Au 0.498 0.255 0.497

(10)
# PBE-GGA TePd, relaxed
# Energy relative to the elements, uncorrected: -357 meV per atom
# E: -0.33255 Ry per atom
data_TePd
_cell_length_a 4.2122
_cell_length_b 4.2122
_cell_length_c 5.7454
_cell_angle_alpha 90.00
_cell_angle_beta 90.00
_cell_angle_gamma 120.00
_space_group_name_H-M_alt 'P 63/m m c'
_space_group_IT_number 194
_space_group_name_Hall '-P 6c 2c'
loop_
_atom_site_label
_atom_site_type_symbol
_atom_site_fract_x
_atom_site_fract_y
_atom_site_fract_z
Te1 Te 0.3333 0.6667 0.2500
Pd1 Pd 0.0000 0.0000 0.0000

(11)
# PBE-GGA ZnSn2Br2, relaxed
# Energy relative to the elements, uncorrected: -248 meV per atom
# E: -0.20385 Ry per atom
data_ZnSn2Br2
_cell_length_a 7.302
_cell_length_b 7.302
_cell_length_c 5.567
_cell_angle_alpha 90.00
_cell_angle_beta 90.00
_cell_angle_gamma 90.00
_space_group_name_H-M_alt 'P 4/m b m'
_space_group_IT_number 127
_space_group_name_Hall '-P 4 2ab'
loop_
_atom_site_label
_atom_site_type_symbol
_atom_site_fract_x
_atom_site_fract_y
_atom_site_fract_z
Zn1 Zn 0.000 0.000 0.000
Sn1 Sn 0.147 0.353 0.000
Br1 Br 0.202 0.298 0.500

(12)
# PBE-GGA CaRe2Se, relaxed
# Energy relative to the elements, uncorrected: 147 meV per atom
# E: -0.54742 Ry per atom
data_CaRe2Se
_cell_length_a 3.118
_cell_length_b 3.118
_cell_length_c 7.709
_cell_angle_alpha 90.00
_cell_angle_beta 90.00
_cell_angle_gamma 90.00
_space_group_name_H-M_alt 'P 4 m m'
_space_group_IT_number 99
loop_
_space_group_symop_operation_xyz
'x,y,z'
'-y,x,z'
'-x,-y,z'
'y,-x,z'
'-x,y,z'
'y,x,z'
'x,-y,z'
'-y,-x,z'
loop_
_atom_site_label
_atom_site_type_symbol
_atom_site_fract_x
_atom_site_fract_y
_atom_site_fract_z
Ca1 Ca 0.000 0.000 0.000
Re1 Re 0.000 0.000 0.475
Re2 Re 0.500 0.500 0.293
Se1 Se 0.500 0.500 0.711

(13)
# PBE-GGA AcPaSbI, relaxed
# Energy relative to the elements, uncorrected: -503 meV per atom
# E: -0.39118 Ry per atom
data_AcPaSbI
_cell_length_a 7.877
_cell_length_b 7.877
_cell_length_c 7.877
_cell_angle_alpha 90.00
_cell_angle_beta 90.00
_cell_angle_gamma 90.00
_space_group_name_H-M_alt 'F -4 3 m'
_space_group_IT_number 216
_space_group_name_Hall 'F -4 2 3'
loop_
_atom_site_label
_atom_site_type_symbol
_atom_site_fract_x
_atom_site_fract_y
_atom_site_fract_z
Ac1 Ac 0.000 0.000 0.000
Pa1 Pa 0.000 0.000 0.500
Sb1 Sb 0.250 0.250 0.750
I1 I 0.250 0.250 0.250

(14)
# PBE-GGA FeCu2I, relaxed
# Energy relative to the elements, uncorrected: 766 meV per atom
# E: -0.27818 Ry per atom
# Energy relative to the lowest polymorph listed for this composition: 0 meV per atom
data_FeCu2I
_cell_length_a 7.375
_cell_length_b 7.375
_cell_length_c 5.178
_cell_angle_alpha 90.00
_cell_angle_beta 90.00
_cell_angle_gamma 90.00
_space_group_name_H-M_alt 'I -4 2 d'
_space_group_IT_number 122
_space_group_name_Hall 'I -4 2bw'
loop_
_atom_site_label
_atom_site_type_symbol
_atom_site_fract_x
_atom_site_fract_y
_atom_site_fract_z
Fe1 Fe 0.000 0.000 0.000
Cu1 Cu 0.229 0.250 0.125
I1 I 0.000 0.000 0.500

(15)
# PBE-GGA YHoTlIn, relaxed
# ΔE_f: -159 kJ/mol of formula units
# E: -0.32704 Ry per atom
data_YHoTlIn
_cell_length_a 7.547
_cell_length_b 7.547
_cell_length_c 7.547
_cell_angle_alpha 90.00
_cell_angle_beta 90.00
_cell_angle_gamma 90.00
_space_group_name_H-M_alt 'F -4 3 m'
_space_group_IT_number 216
_space_group_name_Hall 'F -4 2 3'
loop_
_atom_site_label
_atom_site_type_symbol
_atom_site_fract_x
_atom_site_fract_y
_atom_site_fract_z
Y1 Y 0.000 0.000 0.000
Ho1 Ho 0.000 0.000 0.500
Tl1 Tl 0.250 0.250 0.750
In1 In 0.250 0.250 0.250

(16)
# PBE-GGA La5Pr4Th, relaxed
# ΔE_f: 21 kJ/mol of formula units
# E: -0.37454 Ry per atom
# Energy relative to the lowest polymorph listed for this composition: 0 meV per atom
data_La5Pr4Th
_cell_length_a 3.685
_cell_length_b 3.685
_cell_length_c 26.597
_cell_angle_alpha 90.00
_cell_angle_beta 90.00
_cell_angle_gamma 90.00
_space_group_name_H-M_alt 'P 4/m m m'
_space_group_IT_number 123
_space_group_name_Hall '-P 4 2'
loop_
_atom_site_label
_atom_site_type_symbol
_atom_site_fract_x
_atom_site_fract_y
_atom_site_fract_z
La1 La 0.000 0.000 0.000
La2 La 0.000 0.000 0.201
La3 La 0.000 0.000 0.408
Pr1 Pr 0.500 0.500 0.100
Pr2 Pr 0.500 0.500 0.300
Th1 Th 0.500 0.500 0.500

(17)
# PBE-GGA GeRhI2, relaxed
# Energy relative to the elements, uncorrected: 416 meV per atom
# E: -0.24629 Ry per atom
# Energy relative to the lowest polymorph listed for this composition: 0 meV per atom
data_GeRhI2
_cell_length_a 6.588
_cell_length_b 6.588
_cell_length_c 12.275
_cell_angle_alpha 90.00
_cell_angle_beta 90.00
_cell_angle_gamma 90.00
_space_group_name_H-M_alt 'I -4 2 d'
_space_group_IT_number 122
_space_group_name_Hall 'I -4 2bw'
loop_
_atom_site_label
_atom_site_type_symbol
_atom_site_fract_x
_atom_site_fract_y
_atom_site_fract_z
Ge1 Ge 0.000 0.000 0.000
Rh1 Rh 0.000 0.000 0.500
I1 I 0.203 0.250 0.625

(18)
# PBE-GGA V2Ru2Rh, relaxed
# ΔE_f: 159 kJ/mol of formula units
# E: -0.62458 Ry per atom
# Energy relative to the lowest polymorph listed for this composition: 402 meV per atom
data_V2Ru2Rh
_cell_length_a 4.598
_cell_length_b 6.617
_cell_length_c 5.090
_cell_angle_alpha 90.00
_cell_angle_beta 90.00
_cell_angle_gamma 90.00
_space_group_name_H-M_alt 'C m m m'
_space_group_IT_number 65
_space_group_name_Hall '-C 2 2'
loop_
_atom_site_label
_atom_site_type_symbol
_atom_site_fract_x
_atom_site_fract_y
_atom_site_fract_z
V1 V 0.000 0.000 0.238
Ru1 Ru 0.000 0.318 0.500
Rh1 Rh 0.000 0.500 0.000

(19)
# PBE-GGA TmPaRh4, relaxed
# ΔE_f: -326 kJ/mol of formula units
# E: -0.57270 Ry per atom
# Energy relative to the lowest polymorph listed for this composition: 263 meV per atom
data_TmPaRh4
_cell_length_a 3.584
_cell_length_b 4.373
_cell_length_c 7.650
_cell_angle_alpha 90.00
_cell_angle_beta 90.00
_cell_angle_gamma 90.00
_space_group_name_H-M_alt 'P m m m'
_space_group_IT_number 47
loop_
_space_group_symop_operation_xyz
'x,y,z'
'-x,-y,-z'
'-x,-y,z'
'x,y,-z'
'x,-y,-z'
'-x,y,z'
'-x,y,-z'
'x,-y,z'
loop_
_atom_site_label
_atom_site_type_symbol
_atom_site_fract_x
_atom_site_fract_y
_atom_site_fract_z
Tm1 Tm 0.000 0.000 0.000
Pa1 Pa 0.500 0.500 0.500
Rh1 Rh 0.000 0.500 0.247
Rh2 Rh 0.500 0.000 0.285

(20)
# PBE-GGA NpPa2Sn, relaxed
# ΔE_f: 62 kJ/mol of formula units
# E: -0.64844 Ry per atom
# Energy relative to the lowest polymorph listed for this composition: 207 meV per atom
data_NpPa2Sn
_cell_length_a 3.6518
_cell_length_b 3.6518
_cell_length_c 24.5314
_cell_angle_alpha 90.00
_cell_angle_beta 90.00
_cell_angle_gamma 120.00
_space_group_name_H-M_alt 'R -3 m'
_space_group_IT_number 166
_space_group_name_Hall '-R 3 2"'
loop_
_atom_site_label
_atom_site_type_symbol
_atom_site_fract_x
_atom_site_fract_y
_atom_site_fract_z
Np1 Np 0.0000 0.0000 0.0000
Pa1 Pa 0.0000 0.0000 0.2664
Sn1 Sn 0.0000 0.0000 0.5000

(21)
# PBE-GGA Cs2RbGeI5, relaxed
# Energy relative to the elements, uncorrected: -1075 meV per atom
# E: -0.20183 Ry per atom
data_Cs2RbGeI5
_cell_length_a 4.792
_cell_length_b 21.715
_cell_length_c 18.064
_cell_angle_alpha 90.00
_cell_angle_beta 90.00
_cell_angle_gamma 90.00
_space_group_name_H-M_alt 'C m c 21'
_space_group_IT_number 36
loop_
_space_group_symop_operation_xyz
'x,y,z'
'-x,-y,z+1/2'
'-x,y,z'
'x,-y,z+1/2'
'x+1/2,y+1/2,z'
'-x+1/2,-y+1/2,z+1/2'
'-x+1/2,y+1/2,z'
'x+1/2,-y+1/2,z+1/2'
loop_
_atom_site_label
_atom_site_type_symbol
_atom_site_fract_x
_atom_site_fract_y
_atom_site_fract_z
Cs1 Cs 0.000 0.079 0.000
Cs2 Cs 0.000 0.145 0.653
Rb1 Rb 0.000 0.456 0.803
Ge1 Ge 0.000 0.230 0.392
I1 I 0.000 0.100 0.433
I2 I 0.000 0.252 0.006
I3 I 0.000 0.289 0.785
I4 I 0.000 0.373 0.342
I5 I 0.000 0.492 0.121

(22)
# PBE-GGA YAl, relaxed
# ΔE_f: -34 kJ/mol of formula units
# E: -0.38814 Ry per atom
data_YAl
_cell_length_a 4.9033
_cell_length_b 4.9033
_cell_length_c 5.1445
_cell_angle_alpha 90.00
_cell_angle_beta 90.00
_cell_angle_gamma 120.00
_space_group_name_H-M_alt 'P 63/m m c'
_space_group_IT_number 194
_space_group_name_Hall '-P 6c 2c'
loop_
_atom_site_label
_atom_site_type_symbol
_atom_site_fract_x
_atom_site_fract_y
_atom_site_fract_z
Y1 Y 0.3333 0.6667 0.2500
Al1 Al 0.0000 0.0000 0.0000

(23)
# PBE-GGA Cd4In3Ga, relaxed
# ΔE_f: 32 kJ/mol of formula units
# E: -0.13388 Ry per atom
# Energy relative to the lowest polymorph listed for this composition: 0 meV per atom
data_Cd4In3Ga
_cell_length_a 6.534
_cell_length_b 9.289
_cell_length_c 6.349
_cell_angle_alpha 90.00
_cell_angle_beta 90.00
_cell_angle_gamma 90.00
_space_group_name_H-M_alt 'P m n 21'
_space_group_IT_number 31
loop_
_space_group_symop_operation_xyz
'x,y,z'
'-x+1/2,-y,z+1/2'
'-x,y,z'
'x+1/2,-y,z+1/2'
loop_
_atom_site_label
_atom_site_type_symbol
_atom_site_fract_x
_atom_site_fract_y
_atom_site_fract_z
Cd1 Cd 0.000 0.000 0.000
Cd2 Cd 0.000 0.500 0.002
Cd3 Cd 0.250 0.260 0.251
In1 In 0.000 0.000 0.500
In2 In 0.250 0.260 0.751
Ga1 Ga 0.000 0.500 0.502

(24)
# PBE-GGA AcNd6Dy3, relaxed
# ΔE_f: 130 kJ/mol of formula units
# E: -0.33200 Ry per atom
# Energy relative to the lowest polymorph listed for this composition: 64 meV per atom
data_AcNd6Dy3
_cell_length_a 9.987
_cell_length_b 15.205
_cell_length_c 9.312
_cell_angle_alpha 90.00
_cell_angle_beta 90.00
_cell_angle_gamma 90.00
_space_group_name_H-M_alt 'C m c 21'
_space_group_IT_number 36
loop_
_space_group_symop_operation_xyz
'x,y,z'
'-x,-y,z+1/2'
'-x,y,z'
'x,-y,z+1/2'
'x+1/2,y+1/2,z'
'-x+1/2,-y+1/2,z+1/2'
'-x+1/2,y+1/2,z'
'x+1/2,-y+1/2,z+1/2'
loop_
_atom_site_label
_atom_site_type_symbol
_atom_site_fract_x
_atom_site_fract_y
_atom_site_fract_z
Ac1 Ac 0.000 0.195 0.000
Nd1 Nd 0.000 0.264 0.625
Nd2 Nd 0.000 0.437 0.877
Nd3 Nd 0.177 0.352 0.228
Nd4 Nd 0.179 0.135 0.397
Dy1 Dy 0.000 0.036 0.711
Dy2 Dy 0.208 0.435 0.568

no.,N(E_F) (states/eV per atom)
1,0.455
2,0.463
3,0.934
4,0.454
5,0.000
6,0.697
7,1.208
8,1.268
9,0.273
10,0.501
11,0.170
12,1.317
13,1.771
14,0.728
15,0.436
16,1.922
17,0.938
18,1.264
19,0.488
20,1.687
21,0.000
22,0.872
23,0.405
24,1.477